The following is a PBE calculation of SrLiMgPt after structural relaxation, from Alexandria via LeMat-Bulk.

a b c (Å): 5.009 5.009 5.009
angles (deg): 60.00 60.00 60.00
Element x y z (fractional)
Sr  0.000  0.000  0.000
Li  0.250  0.250  0.250
Mg  0.500  0.500  0.500
Pt  0.750  0.750  0.750

Summary:
Energy of formation from the pure elements = -1.670 eV per formula unit
Total DFT energy (no corrections) = -12.90 eV for the cell shown
E above lowest polymorph = 125 meV/atom
Total magnetization = 0.000 μB/f.u.
Symmetry = F-43m